# Nd2Ni3As4Au, optimized geometry, DFT PBE
# ΔH_f (0 K): -0.73 eV per atom
data_Nd2Ni3As4Au
_chemical_formula_sum 'Nd2 Ni3 As4 Au1'
_cell_length_a 4.303
_cell_length_b 4.303
_cell_length_c 9.720
_cell_angle_alpha 90.00
_cell_angle_beta 90.00
_cell_angle_gamma 90.00
_symmetry_space_group_name_H-M 'P -4 m 2'
_symmetry_Int_Tables_number 115
loop_
_symmetry_equiv_pos_as_xyz
'x,y,z'
'y,-x,-z'
'-x,-y,z'
'-y,x,-z'
'-x,y,z'
'-y,-x,-z'
'x,-y,z'
'y,x,-z'
loop_
_atom_site_label
_atom_site_type_symbol
_atom_site_fract_x
_atom_site_fract_y
_atom_site_fract_z
Nd1 Nd 0.000 0.500 0.242
Ni1 Ni 0.000 0.500 0.888
Ni2 Ni 0.500 0.500 0.500
As1 As 0.000 0.000 0.000
As2 As 0.000 0.500 0.646
As3 As 0.500 0.500 0.000
Au1 Au 0.000 0.000 0.500

---

# TbTmMg, optimized geometry, DFT PBE
# distance to the lowest polymorph of the same formula: 0.22 eV per formula unit
# ΔH_f (0 K): 0.02 eV per atom
data_TbTmMg
_chemical_formula_sum 'Tb2 Tm2 Mg2'
_cell_length_a 3.420
_cell_length_b 5.367
_cell_length_c 9.397
_cell_angle_alpha 90.00
_cell_angle_beta 90.02
_cell_angle_gamma 90.00
_symmetry_space_group_name_H-M 'P 1 21 1'
_symmetry_Int_Tables_number 4
loop_
_symmetry_equiv_pos_as_xyz
'x,y,z'
'-x,y+1/2,-z'
loop_
_atom_site_label
_atom_site_type_symbol
_atom_site_fract_x
_atom_site_fract_y
_atom_site_fract_z
Tb1 Tb 0.001 0.000 0.084
Tm1 Tm 0.500 0.000 0.745
Mg1 Mg 0.001 0.502 0.579

---

# Cs4PuS4, optimized geometry, DFT PBE
# distance to the lowest polymorph of the same formula: 0.51 eV per formula unit
# energy relative to the elements, uncorrected: -1.130 eV/atom
data_Cs4PuS4
_chemical_formula_sum 'Cs8 Pu2 S8'
_cell_length_a 8.346
_cell_length_b 8.346
_cell_length_c 14.227
_cell_angle_alpha 90.00
_cell_angle_beta 90.00
_cell_angle_gamma 90.00
_symmetry_space_group_name_H-M 'I -4 2 m'
_symmetry_Int_Tables_number 121
_symmetry_space_group_name_Hall 'I -4 2'
loop_
_atom_site_label
_atom_site_type_symbol
_atom_site_fract_x
_atom_site_fract_y
_atom_site_fract_z
Cs1 Cs 0.000 0.000 0.202
Cs2 Cs 0.000 0.500 0.000
Pu1 Pu 0.000 0.000 0.500
S1 S 0.178 0.178 0.606

---

# ZrTc2, optimized geometry, DFT PBE
# distance to the lowest polymorph of the same formula: 1.53 eV per formula unit
# ΔH_f (0 K): 0.20 eV per atom
data_ZrTc2
_chemical_formula_sum 'Zr4 Tc8'
_cell_length_a 3.919
_cell_length_b 3.919
_cell_length_c 15.032
_cell_angle_alpha 90.00
_cell_angle_beta 90.00
_cell_angle_gamma 90.00
_symmetry_space_group_name_H-M 'I 41/a m d'
_symmetry_Int_Tables_number 141
loop_
_symmetry_equiv_pos_as_xyz
'x,y,z'
'-x,-y,-z'
'-y+1/4,x+3/4,z+1/4'
'y+1/4,-x+3/4,-z+1/4'
'-x+1/2,-y,z+1/2'
'x+1/2,y,-z+1/2'
'y+1/4,-x+1/4,z+3/4'
'-y+1/4,x+1/4,-z+3/4'
'x,-y,-z'
'-x,y,z'
'-y+1/4,-x+1/4,-z+3/4'
'y+1/4,x+1/4,z+3/4'
'-x+1/2,y,-z+1/2'
'x+1/2,-y,z+1/2'
'y+1/4,x+3/4,-z+1/4'
'-y+1/4,-x+3/4,z+1/4'
'x+1/2,y+1/2,z+1/2'
'-x+1/2,-y+1/2,-z+1/2'
'-y+3/4,x+1/4,z+3/4'
'y+3/4,-x+1/4,-z+3/4'
'-x,-y+1/2,z'
'x,y+1/2,-z'
'y+3/4,-x+3/4,z+1/4'
'-y+3/4,x+3/4,-z+1/4'
'x+1/2,-y+1/2,-z+1/2'
'-x+1/2,y+1/2,z+1/2'
'-y+3/4,-x+3/4,-z+1/4'
'y+3/4,x+3/4,z+1/4'
'-x,y+1/2,-z'
'x,-y+1/2,z'
'y+3/4,x+1/4,-z+3/4'
'-y+3/4,-x+1/4,z+3/4'
loop_
_atom_site_label
_atom_site_type_symbol
_atom_site_fract_x
_atom_site_fract_y
_atom_site_fract_z
Zr1 Zr 0.000 0.250 0.375
Tc1 Tc 0.000 0.250 0.794

---

# LiTeO4, optimized geometry, DFT PBE
# distance to the lowest polymorph of the same formula: 0.21 eV per formula unit
# energy relative to the elements, uncorrected: -0.940 eV/atom
data_LiTeO4
_chemical_formula_sum 'Li2 Te2 O8'
_cell_length_a 6.541
_cell_length_b 7.099
_cell_length_c 3.078
_cell_angle_alpha 90.00
_cell_angle_beta 90.00
_cell_angle_gamma 90.00
_symmetry_space_group_name_H-M 'C m m m'
_symmetry_Int_Tables_number 65
_symmetry_space_group_name_Hall '-C 2 2'
loop_
_atom_site_label
_atom_site_type_symbol
_atom_site_fract_x
_atom_site_fract_y
_atom_site_fract_z
Li1 Li 0.000 0.000 0.000
Te1 Te 0.000 0.500 0.500
O1 O 0.000 0.316 0.000
O2 O 0.213 0.000 0.500

---

# Y3Os5, optimized geometry, DFT PBE
# distance to the lowest polymorph of the same formula: 0.00 eV per formula unit
# ΔH_f (0 K): 0.16 eV per atom
data_Y3Os5
_chemical_formula_sum 'Y6 Os10'
_cell_length_a 4.966
_cell_length_b 8.533
_cell_length_c 8.763
_cell_angle_alpha 71.01
_cell_angle_beta 75.07
_cell_angle_gamma 77.64
_symmetry_space_group_name_H-M 'P -1'
_symmetry_Int_Tables_number 2
loop_
_symmetry_equiv_pos_as_xyz
'x,y,z'
'-x,-y,-z'
loop_
_atom_site_label
_atom_site_type_symbol
_atom_site_fract_x
_atom_site_fract_y
_atom_site_fract_z
Y1 Y 0.172 0.123 0.078
Y2 Y 0.282 0.391 0.545
Y3 Y 0.303 0.594 0.133
Os1 Os 0.066 0.694 0.672
Os2 Os 0.189 0.813 0.347
Os3 Os 0.241 0.044 0.484
Os4 Os 0.343 0.066 0.749
Os5 Os 0.457 0.756 0.756

---

# TiAs, optimized geometry, DFT PBE
# ΔH_f (0 K): -0.30 eV per atom
data_TiAs
_chemical_formula_sum 'Ti8 As8'
_cell_length_a 7.888
_cell_length_b 7.888
_cell_length_c 7.888
_cell_angle_alpha 90.00
_cell_angle_beta 90.00
_cell_angle_gamma 90.00
_symmetry_space_group_name_H-M 'I -4 3 m'
_symmetry_Int_Tables_number 217
_symmetry_space_group_name_Hall 'I -4 2 3'
loop_
_atom_site_label
_atom_site_type_symbol
_atom_site_fract_x
_atom_site_fract_y
_atom_site_fract_z
Ti1 Ti 0.134 0.134 0.134
As1 As 0.179 0.179 0.821

---

# ScBeRe2, optimized geometry, DFT PBE
# ΔH_f (0 K): 0.11 eV per atom
data_ScBeRe2
_chemical_formula_sum 'Sc1 Be1 Re2'
_cell_length_a 3.736
_cell_length_b 3.736
_cell_length_c 4.276
_cell_angle_alpha 90.00
_cell_angle_beta 90.00
_cell_angle_gamma 90.00
_symmetry_space_group_name_H-M 'P 4/m m m'
_symmetry_Int_Tables_number 123
_symmetry_space_group_name_Hall '-P 4 2'
loop_
_atom_site_label
_atom_site_type_symbol
_atom_site_fract_x
_atom_site_fract_y
_atom_site_fract_z
Sc1 Sc 0.000 0.000 0.000
Be1 Be 0.500 0.500 0.000
Re1 Re 0.000 0.500 0.500

---

# LiLuHg, optimized geometry, DFT PBE
# distance to the lowest polymorph of the same formula: 0.02 eV per formula unit
# ΔH_f (0 K): -0.25 eV per atom
data_LiLuHg
_chemical_formula_sum 'Li2 Lu2 Hg2'
_cell_length_a 3.751
_cell_length_b 3.751
_cell_length_c 9.353
_cell_angle_alpha 90.00
_cell_angle_beta 90.00
_cell_angle_gamma 90.00
_symmetry_space_group_name_H-M 'I 4 m m'
_symmetry_Int_Tables_number 107
_symmetry_space_group_name_Hall 'I 4 -2'
loop_
_atom_site_label
_atom_site_type_symbol
_atom_site_fract_x
_atom_site_fract_y
_atom_site_fract_z
Li1 Li 0.000 0.000 0.000
Lu1 Lu 0.000 0.000 0.317
Hg1 Hg 0.000 0.000 0.645

---

# Sr2AgHg2, optimized geometry, DFT PBE
# distance to the lowest polymorph of the same formula: 0.33 eV per formula unit
# ΔH_f (0 K): -0.37 eV per atom
data_Sr2AgHg2
_chemical_formula_sum 'Sr4 Ag2 Hg4'
_cell_length_a 8.218
_cell_length_b 8.218
_cell_length_c 4.598
_cell_angle_alpha 90.00
_cell_angle_beta 90.00
_cell_angle_gamma 90.00
_symmetry_space_group_name_H-M 'P 4/m b m'
_symmetry_Int_Tables_number 127
_symmetry_space_group_name_Hall '-P 4 2ab'
loop_
_atom_site_label
_atom_site_type_symbol
_atom_site_fract_x
_atom_site_fract_y
_atom_site_fract_z
Sr1 Sr 0.173 0.327 0.000
Ag1 Ag 0.000 0.000 0.500
Hg1 Hg 0.131 0.631 0.500

---

# TbPrGdY, optimized geometry, DFT PBE
# ΔH_f (0 K): 0.11 eV per atom
data_TbPrGdY
_chemical_formula_sum 'Tb4 Pr4 Gd4 Y4'
_cell_length_a 8.126
_cell_length_b 8.126
_cell_length_c 8.126
_cell_angle_alpha 90.00
_cell_angle_beta 90.00
_cell_angle_gamma 90.00
_symmetry_space_group_name_H-M 'F -4 3 m'
_symmetry_Int_Tables_number 216
_symmetry_space_group_name_Hall 'F -4 2 3'
loop_
_atom_site_label
_atom_site_type_symbol
_atom_site_fract_x
_atom_site_fract_y
_atom_site_fract_z
Tb1 Tb 0.000 0.000 0.000
Pr1 Pr 0.250 0.250 0.750
Gd1 Gd 0.250 0.250 0.250
Y1 Y 0.000 0.000 0.500

---

# Tm5UP6, optimized geometry, DFT PBE
# ΔH_f (0 K): -1.50 eV per atom
data_Tm5UP6
_chemical_formula_sum 'Tm10 U2 P12'
_cell_length_a 6.817
_cell_length_b 11.815
_cell_length_c 6.813
_cell_angle_alpha 90.00
_cell_angle_beta 109.46
_cell_angle_gamma 90.00
_symmetry_space_group_name_H-M 'C 1 2/m 1'
_symmetry_Int_Tables_number 12
loop_
_symmetry_equiv_pos_as_xyz
'x,y,z'
'-x,-y,-z'
'-x,y,-z'
'x,-y,z'
'x+1/2,y+1/2,z'
'-x+1/2,-y+1/2,-z'
'-x+1/2,y+1/2,-z'
'x+1/2,-y+1/2,z'
loop_
_atom_site_label
_atom_site_type_symbol
_atom_site_fract_x
_atom_site_fract_y
_atom_site_fract_z
Tm1 Tm 0.000 0.000 0.000
Tm2 Tm 0.000 0.166 0.500
Tm3 Tm 0.000 0.332 0.000
U1 U 0.000 0.500 0.500
P1 P 0.246 0.500 0.253
P2 P 0.247 0.336 0.748

---

# BaMnCo2, optimized geometry, DFT PBE
# distance to the lowest polymorph of the same formula: 0.06 eV per formula unit
# ΔH_f (0 K): 0.32 eV per atom
data_BaMnCo2
_chemical_formula_sum 'Ba3 Mn3 Co6'
_cell_length_a 4.1212
_cell_length_b 4.1212
_cell_length_c 17.0429
_cell_angle_alpha 90.00
_cell_angle_beta 90.00
_cell_angle_gamma 120.00
_symmetry_space_group_name_H-M 'R -3 m'
_symmetry_Int_Tables_number 166
_symmetry_space_group_name_Hall '-R 3 2"'
loop_
_atom_site_label
_atom_site_type_symbol
_atom_site_fract_x
_atom_site_fract_y
_atom_site_fract_z
Ba1 Ba 0.0000 0.0000 0.0000
Mn1 Mn 0.0000 0.0000 0.5000
Co1 Co 0.0000 0.0000 0.1847

---

# Y2HoInN4, optimized geometry, DFT PBE
# energy relative to the elements, uncorrected: -1.195 eV/atom
data_Y2HoInN4
_chemical_formula_sum 'Y2 Ho1 In1 N4'
_cell_length_a 5.966
_cell_length_b 3.448
_cell_length_c 5.969
_cell_angle_alpha 90.00
_cell_angle_beta 110.41
_cell_angle_gamma 90.00
_symmetry_space_group_name_H-M 'P 1 2/m 1'
_symmetry_Int_Tables_number 10
loop_
_symmetry_equiv_pos_as_xyz
'x,y,z'
'-x,-y,-z'
'-x,y,-z'
'x,-y,z'
loop_
_atom_site_label
_atom_site_type_symbol
_atom_site_fract_x
_atom_site_fract_y
_atom_site_fract_z
Y1 Y 0.000 0.000 0.000
Y2 Y 0.000 0.500 0.500
Ho1 Ho 0.500 0.000 0.500
In1 In 0.500 0.500 0.000
N1 N 0.246 0.500 0.257
N2 N 0.252 0.000 0.751

---

Computed, not measured: HfTlH2S after structural relaxation at the PBE level of DFT.

CIF file:
```
data_HfTlH2S
_chemical_formula_sum 'Hf1 Tl1 H2 S1'
_cell_length_a 3.940
_cell_length_b 3.940
_cell_length_c 6.208
_cell_angle_alpha 90.00
_cell_angle_beta 90.00
_cell_angle_gamma 90.00
_symmetry_space_group_name_H-M 'P 4/m m m'
_symmetry_Int_Tables_number 123
_symmetry_space_group_name_Hall '-P 4 2'
loop_
_atom_site_label
_atom_site_type_symbol
_atom_site_fract_x
_atom_site_fract_y
_atom_site_fract_z
Hf1 Hf 0.000 0.000 0.000
Tl1 Tl 0.500 0.500 0.000
H1 H 0.000 0.500 0.500
S1 S 0.500 0.500 0.500
```

---

# MgCuCl3, optimized geometry, DFT PBE
# distance to the lowest polymorph of the same formula: 2.34 eV per formula unit
# energy relative to the elements, uncorrected: -0.786 eV/atom
data_MgCuCl3
_chemical_formula_sum 'Mg1 Cu1 Cl3'
_cell_length_a 4.880
_cell_length_b 4.880
_cell_length_c 4.880
_cell_angle_alpha 90.00
_cell_angle_beta 90.00
_cell_angle_gamma 90.00
_symmetry_space_group_name_H-M 'P m -3 m'
_symmetry_Int_Tables_number 221
_symmetry_space_group_name_Hall '-P 4 2 3'
loop_
_atom_site_label
_atom_site_type_symbol
_atom_site_fract_x
_atom_site_fract_y
_atom_site_fract_z
Mg1 Mg 0.000 0.000 0.000
Cu1 Cu 0.500 0.500 0.500
Cl1 Cl 0.000 0.000 0.500

---

# SrCo3Cu, optimized geometry, DFT PBE
# distance to the lowest polymorph of the same formula: 7.31 eV per formula unit
# ΔH_f (0 K): 2.32 eV per atom
data_SrCo3Cu
_chemical_formula_sum 'Sr1 Co3 Cu1'
_cell_length_a 4.679
_cell_length_b 4.679
_cell_length_c 4.679
_cell_angle_alpha 90.00
_cell_angle_beta 90.00
_cell_angle_gamma 90.00
_symmetry_space_group_name_H-M 'P m -3 m'
_symmetry_Int_Tables_number 221
_symmetry_space_group_name_Hall '-P 4 2 3'
loop_
_atom_site_label
_atom_site_type_symbol
_atom_site_fract_x
_atom_site_fract_y
_atom_site_fract_z
Sr1 Sr 0.000 0.000 0.000
Co1 Co 0.000 0.000 0.500
Cu1 Cu 0.500 0.500 0.500

---

# La2NiW, optimized geometry, DFT PBE
# distance to the lowest polymorph of the same formula: 0.32 eV per formula unit
# ΔH_f (0 K): 0.30 eV per atom
data_La2NiW
_chemical_formula_sum 'La4 Ni2 W2'
_cell_length_a 3.432
_cell_length_b 5.033
_cell_length_c 10.992
_cell_angle_alpha 90.00
_cell_angle_beta 90.00
_cell_angle_gamma 90.00
_symmetry_space_group_name_H-M 'I m m 2'
_symmetry_Int_Tables_number 44
loop_
_symmetry_equiv_pos_as_xyz
'x,y,z'
'-x,-y,z'
'-x,y,z'
'x,-y,z'
'x+1/2,y+1/2,z+1/2'
'-x+1/2,-y+1/2,z+1/2'
'-x+1/2,y+1/2,z+1/2'
'x+1/2,-y+1/2,z+1/2'
loop_
_atom_site_label
_atom_site_type_symbol
_atom_site_fract_x
_atom_site_fract_y
_atom_site_fract_z
La1 La 0.000 0.000 0.000
La2 La 0.000 0.500 0.202
Ni1 Ni 0.000 0.500 0.772
W1 W 0.000 0.000 0.422

---

# Y4InIr, optimized geometry, DFT PBE
# distance to the lowest polymorph of the same formula: 0.00 eV per formula unit
# ΔH_f (0 K): -0.58 eV per atom
data_Y4InIr
_chemical_formula_sum 'Y64 In16 Ir16'
_cell_length_a 13.712
_cell_length_b 13.712
_cell_length_c 13.712
_cell_angle_alpha 90.00
_cell_angle_beta 90.00
_cell_angle_gamma 90.00
_symmetry_space_group_name_H-M 'F -4 3 m'
_symmetry_Int_Tables_number 216
_symmetry_space_group_name_Hall 'F -4 2 3'
loop_
_atom_site_label
_atom_site_type_symbol
_atom_site_fract_x
_atom_site_fract_y
_atom_site_fract_z
Y1 Y 0.000 0.000 0.190
Y2 Y 0.058 0.250 0.750
Y3 Y 0.099 0.099 0.401
In1 In 0.167 0.167 0.167
Ir1 Ir 0.109 0.109 0.609

---

# TlAsPb2Se4, optimized geometry, DFT PBE
# energy relative to the elements, uncorrected: -0.275 eV/atom
data_TlAsPb2Se4
_chemical_formula_sum 'Tl4 As4 Pb8 Se16'
_cell_length_a 8.507
_cell_length_b 8.624
_cell_length_c 12.075
_cell_angle_alpha 90.00
_cell_angle_beta 90.00
_cell_angle_gamma 90.00
_symmetry_space_group_name_H-M 'I m m a'
_symmetry_Int_Tables_number 74
_symmetry_space_group_name_Hall '-I 2b 2'
loop_
_atom_site_label
_atom_site_type_symbol
_atom_site_fract_x
_atom_site_fract_y
_atom_site_fract_z
Tl1 Tl 0.000 0.000 0.000
As1 As 0.250 0.250 0.250
Pb1 Pb 0.000 0.000 0.500
Pb2 Pb 0.250 0.250 0.750
Se1 Se 0.000 0.028 0.252
Se2 Se 0.245 0.250 0.488

---

Uncorrected energy, respectively: -5.610; -3.543; -4.937; -9.560; -5.088; -9.287; -6.569; -8.624; -2.500; -1.732; -7.379; -7.009; -6.002; -7.889; -3.671; -3.032; -3.098; -6.848; -6.827; -3.821 eV per atom.